*a*
{
  "formula": "Pd5PtAu",
  "functional": "PBE",
  "state": "optimized geometry",
  "lattice_angstrom": [[3.936, 0.000, 0.000], [0.000, 3.936, 0.000], [0.000, 0.000, 7.666]],
  "species": ["Pd", "Pd", "Pd", "Pd", "Pd", "Pt", "Au"],
  "frac_coords": [[0.000, 0.000, 0.000], [0.000, 0.500, 0.271], [0.000, 0.500, 0.729], [0.500, 0.000, 0.271], [0.500, 0.000, 0.729], [0.500, 0.500, 0.500], [0.500, 0.500, 0.000]],
  "m_tot_mub_per_fu": 0.000,
  "spacegroup": "P4/mmm (123)"
}

=====

*b*
{
  "formula": "Pd5PtAu",
  "functional": "PBE",
  "state": "optimized geometry",
  "lattice_angstrom": [[4.676, -2.689, 0.000], [4.676, 2.689, 0.000], [-1.751, 0.000, 9.459]],
  "species": ["Pd", "Pd", "Pd", "Pd", "Pd", "Pd", "Pd", "Pd", "Pd", "Pd", "Pt", "Pt", "Au", "Au"],
  "frac_coords": [[0.093, 0.196, 0.008], [0.196, 0.093, 0.508], [0.227, 0.773, 0.750], [0.238, 0.283, 0.775], [0.283, 0.238, 0.275], [0.717, 0.762, 0.725], [0.762, 0.717, 0.225], [0.773, 0.227, 0.250], [0.804, 0.907, 0.492], [0.907, 0.804, 0.992], [0.257, 0.743, 0.250], [0.743, 0.257, 0.750], [0.500, 0.500, 0.000], [0.500, 0.500, 0.500]],
  "m_tot_mub_per_fu": 0.000,
  "spacegroup": "C2/c (15)"
}

=====

Stability, highest: *a*

=====

*a*
{
  "formula": "Pd2Pt2Au",
  "functional": "PBE",
  "state": "optimized geometry",
  "lattice_angstrom": [[3.711, 0.000, 0.000], [0.000, 3.711, 0.000], [0.000, 0.000, 12.846]],
  "species": ["Pd", "Pd", "Pd", "Pd", "Pt", "Pt", "Pt", "Pt", "Au", "Au"],
  "frac_coords": [[0.000, 0.500, 0.250], [0.000, 0.500, 0.750], [0.500, 0.000, 0.250], [0.500, 0.000, 0.750], [0.000, 0.000, 0.099], [0.000, 0.000, 0.901], [0.500, 0.500, 0.401], [0.500, 0.500, 0.599], [0.000, 0.000, 0.500], [0.500, 0.500, 0.000]],
  "m_tot_mub_per_fu": 0.001,
  "spacegroup": "I4/mmm (139)"
}

=====

*b*
{
  "formula": "Pd2Pt2Au",
  "functional": "PBE",
  "state": "optimized geometry",
  "lattice_angstrom": [[3.662, 0.000, 0.000], [0.000, 3.662, 0.000], [0.000, 0.000, 13.366]],
  "species": ["Pd", "Pd", "Pd", "Pd", "Pt", "Pt", "Pt", "Pt", "Au", "Au"],
  "frac_coords": [[0.000, 0.000, 0.099], [0.000, 0.000, 0.901], [0.500, 0.500, 0.401], [0.500, 0.500, 0.599], [0.000, 0.500, 0.250], [0.000, 0.500, 0.750], [0.500, 0.000, 0.250], [0.500, 0.000, 0.750], [0.000, 0.000, 0.500], [0.500, 0.500, 0.000]],
  "m_tot_mub_per_fu": 0.001,
  "spacegroup": "I4/mmm (139)"
}

=====

Stability, highest: *b*

=====

*a*
{
  "formula": "Pd2Pt2Au",
  "functional": "PBE",
  "state": "optimized geometry",
  "lattice_angstrom": [[7.744, 0.000, 0.000], [0.000, 7.744, 0.000], [0.000, 0.000, 2.816]],
  "species": ["Pd", "Pd", "Pd", "Pd", "Pt", "Pt", "Pt", "Pt", "Au", "Au"],
  "frac_coords": [[0.176, 0.324, 0.000], [0.324, 0.824, 0.000], [0.676, 0.176, 0.000], [0.824, 0.676, 0.000], [0.123, 0.623, 0.500], [0.377, 0.123, 0.500], [0.623, 0.877, 0.500], [0.877, 0.377, 0.500], [0.000, 0.000, 0.500], [0.500, 0.500, 0.500]],
  "m_tot_mub_per_fu": 0.000,
  "spacegroup": "P4/mbm (127)"
}

=====

*b*
{
  "formula": "Pd2Pt2Au",
  "functional": "PBE",
  "state": "optimized geometry",
  "lattice_angstrom": [[7.782, 0.000, 0.000], [0.000, 7.782, 0.000], [0.000, 0.000, 2.784]],
  "species": ["Pd", "Pd", "Pd", "Pd", "Pt", "Pt", "Pt", "Pt", "Au", "Au"],
  "frac_coords": [[0.129, 0.371, 0.000], [0.371, 0.871, 0.000], [0.629, 0.129, 0.000], [0.871, 0.629, 0.000], [0.170, 0.670, 0.500], [0.330, 0.170, 0.500], [0.670, 0.830, 0.500], [0.830, 0.330, 0.500], [0.000, 0.000, 0.000], [0.500, 0.500, 0.000]],
  "m_tot_mub_per_fu": 0.000,
  "spacegroup": "P4/mbm (127)"
}

=====

Stability, highest: *a*